Record 1
Here is Tb3Zn6Ag5 after structural relaxation from the Alexandria database. Energies are from GGA-PBE.

a = 4.4239 Å, b = 9.4011 Å, c = 13.1375 Å
α = 90.00°, β = 90.00°, γ = 90.00°
Last column: nearest neighbours and their distance in Å.
Space group Immm (No. 71)
Asymmetric unit:
Tb: 0.0000 0.0000 0.0000 x2  4 Zn 3.19, 8 Ag 3.40
Tb: 0.0000 0.0000 0.2992 x4  8 Zn 3.13-3.50, 8 Ag 3.14-3.44
Zn: 0.0000 0.1867 0.5000 x4  4 Ag 2.68-2.82, 4 Zn 2.80
Zn: 0.0000 0.2869 0.1290 x8  4 Ag 2.62-2.76, 2 Zn 2.80
Ag: 0.0000 0.3528 0.3339 x8  4 Zn 2.62-2.76, 1 Ag 2.77
Ag: 0.0000 0.5000 0.0000 x2  8 Zn 2.62-2.82

Output
DOS(E_F) = 6.6 states/eV/f.u.
E_form = -3.56 eV per formula unit


Record 2
Here is Ag2HgBi after structural relaxation from the Alexandria database. Energies are from GGA-PBE.

a = 4.5432 Å, b = 4.5432 Å, c = 4.3682 Å
α = 90.00°, β = 90.00°, γ = 90.00°
Last column: nearest neighbours and their distance in Å.
Space group P4/mmm (No. 123)
Asymmetric unit:
Ag: 0.0000 0.5000 0.0000 x2  4 Bi 3.15, 4 Hg 3.15, 4 Ag 3.21
Hg: 0.0000 0.0000 0.5000 x1  8 Ag 3.15, 4 Bi 3.21
Bi: 0.5000 0.5000 0.5000 x1  8 Ag 3.15, 4 Hg 3.21

Output
DOS(E_F) = 1.4 states/eV/f.u.
E_form = 0.45 eV per formula unit


Record 3
Here is AcNd2AgN after structural relaxation from the Alexandria database. Energies are from GGA-PBE.

a = 5.0026 Å, b = 5.0026 Å, c = 5.3670 Å
α = 90.00°, β = 90.00°, γ = 90.00°
Last column: nearest neighbours and their distance in Å.
Space group P4/mmm (No. 123)
Asymmetric unit:
Ac: 0.0000 0.0000 0.0000 x1  2 N 2.68
Nd: 0.0000 0.5000 0.5000 x2  2 N 2.50
Ag: 0.5000 0.5000 0.0000 x1  4 Ac 3.54, 8 Nd 3.67
N: 0.0000 0.0000 0.5000 x1  4 Nd 2.50, 2 Ac 2.68

Output
DOS(E_F) = 5.0 states/eV/f.u.
ΔE_f (raw) = -0.53 eV/atom


Record 4
Here is Na2Cd3Ag after structural relaxation from the Alexandria database. Energies are from GGA-PBE.

a = 5.6264 Å, b = 6.0119 Å, c = 8.6094 Å
α = 90.00°, β = 90.00°, γ = 90.00°
Last column: nearest neighbours and their distance in Å.
Space group Pmma (No. 51)
Asymmetric unit:
Na: 0.2500 0.0000 0.1030 x2  1 Ag 3.00, 2 Na 3.33
Na: 0.2500 0.5000 0.3700 x2  2 Ag 3.09, 4 Cd 3.33
Cd: 0.0000 0.5000 0.0000 x2  6 Cd 2.81-3.08
Cd: 0.2500 0.2447 0.7356 x4  1 Ag 2.85, 4 Cd 2.94-3.08
Ag: 0.2500 0.0000 0.4518 x2  2 Cd 2.85, 2 Ag 2.93, 3 Na 3.00-3.09

Output
DOS(E_F) = 2.4 states/eV/f.u.
E_form = -0.31 eV per formula unit


Record 5
Here is ZnRe2F after structural relaxation from the Alexandria database. Energies are from GGA-PBE.

a = 7.1477 Å, b = 7.1477 Å, c = 4.5793 Å
α = 90.00°, β = 90.00°, γ = 90.00°
Last column: nearest neighbours and their distance in Å.
Space group I-42d (No. 122)
Asymmetric unit:
Zn: 0.0000 0.0000 0.0000 x4  2 F 2.29
Re: 0.1798 0.7500 0.6250 x8  2 F 2.27, 2 Re 2.50
F: 0.0000 0.0000 0.5000 x4  4 Re 2.27, 2 Zn 2.29

Output
DOS(E_F) = 4.0 states/eV/f.u.
ΔE_f (raw) = 0.66 eV/atom


Record 6
Here is PmPuZn after structural relaxation from the Alexandria database. Energies are from GGA-PBE.

a = 3.5896 Å, b = 3.5896 Å, c = 12.1612 Å
α = 90.00°, β = 90.00°, γ = 90.00°
Last column: nearest neighbours and their distance in Å.
Space group I4mm (No. 107)
Asymmetric unit:
Pm: 0.0000 0.0000 0.0000 x2  4 Zn 3.12
Pu: 0.0000 0.0000 0.2936 x2  4 Zn 3.09
Zn: 0.0000 0.0000 0.6489 x2  4 Pu 3.09, 4 Pm 3.12

Output
DOS(E_F) = 7.6 states/eV/f.u.
E_form = -0.11 eV per formula unit


In order of appearance, E = -2.81, -2.36, -5.50, -1.42, -6.35, -6.82 eV per atom.
In order of appearance, density = 8.56, 11.52, 7.88, 5.60, 12.97, 9.63 g/cm3.